Ta3TeOs | PBE | relaxed

The structure in POSCAR format:
```
Ta3TeOs
1.0
-1.1061 4.7366 0.5850
-4.7300 -1.0080 -0.7821
-0.6358 -0.7414 4.8007
Te Os Ta
1 1 3
Direct
0.5000 0.5000 0.5000
0.0000 0.0000 0.0000
0.0000 0.5000 0.0000
0.0000 0.0000 0.5000
0.5000 0.0000 0.0000
```

## Properties
E_tot, eV/cell: -44.74

Na2CaSi2 | PBE | relaxed

The structure in POSCAR format:
```
Na2CaSi2
1.0
8.5250 0.0000 0.0000
0.0000 8.5250 0.0000
0.0000 0.0000 3.0813
Na Ca Si
4 2 4
Direct
0.3856 0.8856 0.0000
0.8856 0.6144 0.0000
0.6144 0.1144 0.0000
0.1144 0.3856 0.0000
0.0000 0.0000 0.0000
0.5000 0.5000 0.0000
0.1852 0.6852 0.5000
0.6852 0.8148 0.5000
0.8148 0.3148 0.5000
0.3148 0.1852 0.5000
```

## Properties
E_tot, eV/cell: -29.33

La4InGe | PBE | relaxed

The structure in POSCAR format:
```
La4InGe
1.0
5.5093 0.0000 -2.3903
0.0000 7.1138 0.0000
-0.4546 0.0000 9.8979
La In Ge
8 2 2
Direct
0.6124 0.2500 0.4566
0.3876 0.7500 0.5434
0.6817 0.2500 0.8689
0.3183 0.7500 0.1311
0.9003 0.0213 0.2411
0.0997 0.5213 0.7589
0.9003 0.4787 0.2411
0.0997 0.9787 0.7589
0.3102 0.2500 0.0833
0.6898 0.7500 0.9167
0.1972 0.2500 0.5455
0.8028 0.7500 0.4545
```

## Properties
E_tot, eV/cell: -59.92
Formation energy, meV per atom: -483

PuCoPH2 | PBE | relaxed

The structure in POSCAR format:
```
PuCoPH2
1.0
-3.1765 -1.9974 0.3578
4.0748 -2.4884 2.4300
-1.1887 2.7523 4.8118
Pu Co P H
2 2 2 4
Direct
0.7105 0.4210 0.7500
0.2895 0.5790 0.2500
0.0000 0.0000 0.0000
0.0000 0.0000 0.5000
0.4306 0.8612 0.7500
0.5694 0.1388 0.2500
0.1570 0.3140 0.9344
0.8430 0.6860 0.0656
0.1570 0.3140 0.5656
0.8430 0.6860 0.4344
```

## Properties
E_tot, eV/cell: -72.40